Record 1
First-principles (GGA-PBE) data for a geometry-optimized CsIn2Ag structure, as listed in Alexandria.

```
CsIn2Ag
1.0
2.459 1.420 7.085
-2.459 1.420 7.085
0.000 -2.839 7.085
Cs In Ag
1 2 1
Direct
0.000 0.000 0.000
0.196 0.196 0.196
0.804 0.804 0.804
0.500 0.500 0.500
```

Output
Space-group type: No. 166
Calculated density in g/cm³: 5.26
Size of the total moment in μB/f.u.: 0.0
Energy relative to the lowest polymorph listed for this composition in meV/atom: 22
Calculated formation energy in eV per atom: -0.065
V in Å³ per cell: 148.38

=====

Record 2
First-principles (GGA-PBE) data for a geometry-optimized ErZn7Cu5 structure, as listed in Alexandria.

```
ErZn7Cu5
1.0
-2.485 4.387 4.347
2.485 -4.387 4.347
2.485 4.387 -4.347
Er Zn Cu
1 7 5
Direct
0.000 0.000 0.000
0.219 0.508 0.711
0.226 0.726 0.500
0.351 0.351 0.000
0.363 0.015 0.348
0.658 0.658 0.000
0.666 0.015 0.652
0.798 0.508 0.289
0.010 0.010 0.499
0.010 0.512 0.000
0.511 0.010 0.000
0.511 0.512 0.501
0.790 0.290 0.500
```

Output
Space-group type: No. 44
Calculated density in g/cm³: 8.26
Size of the total moment in μB/f.u.: 0.0
Calculated formation energy in eV per atom: -0.184
V in Å³ per cell: 189.49

=====

Record 3
First-principles (GGA-PBE) data for a geometry-optimized ReNi2Os structure, as listed in Alexandria.

```
ReNi2Os
1.0
4.367 -1.324 0.000
4.367 1.324 0.000
-0.779 0.000 4.454
Re Ni Os
1 2 1
Direct
0.000 0.000 0.000
0.252 0.252 0.735
0.502 0.502 0.511
0.756 0.756 0.246
```

Output
Space-group type: No. 8
Calculated density in g/cm³: 15.92
Size of the total moment in μB/f.u.: 0.0
Energy relative to the lowest polymorph listed for this composition in meV/atom: 63
Calculated formation energy in eV per atom: 0.072
V in Å³ per cell: 51.51

=====

Record 4
First-principles (GGA-PBE) data for a geometry-optimized Nd2ZnSn4Pd3 structure, as listed in Alexandria.

```
Nd2ZnSn4Pd3
1.0
4.467 0.000 0.000
0.000 4.467 0.000
0.000 0.000 11.343
Nd Zn Sn Pd
2 1 4 3
Direct
0.000 0.500 0.242
0.500 0.000 0.758
0.500 0.500 0.000
0.000 0.000 0.500
0.000 0.500 0.865
0.500 0.000 0.135
0.500 0.500 0.500
0.000 0.000 0.000
0.000 0.500 0.635
0.500 0.000 0.365
```

Output
Space-group type: No. 115
Calculated density in g/cm³: 8.42
Size of the total moment in μB/f.u.: 0.0
Calculated formation energy in eV per atom: -0.690
V in Å³ per cell: 226.29

=====

Record 5
First-principles (GGA-PBE) data for a geometry-optimized CsSnAsI6 structure, as listed in Alexandria.

```
CsSnAsI6
1.0
7.935 0.000 0.000
-3.968 6.872 0.000
0.000 0.000 8.621
Cs Sn As I
1 1 1 6
Direct
0.000 0.000 0.000
0.333 0.667 0.500
0.667 0.333 0.500
0.383 0.029 0.700
0.383 0.354 0.300
0.646 0.029 0.300
0.646 0.617 0.700
0.971 0.354 0.700
0.971 0.617 0.300
```

Output
Space-group type: No. 149
Calculated density in g/cm³: 3.84
Size of the total moment in μB/f.u.: 0.0
Uncorrected formation energy in eV/atom: -0.5786
V in Å³ per cell: 470.12

=====

Record 6
First-principles (GGA-PBE) data for a geometry-optimized Y3AlTl4S8 structure, as listed in Alexandria.

```
Y3AlTl4S8
1.0
3.944 2.277 7.524
-3.944 2.277 7.524
0.000 -4.554 7.524
Y Al Tl S
3 1 4 8
Direct
0.000 0.500 0.500
0.500 0.000 0.500
0.500 0.500 0.000
0.000 0.000 0.000
0.000 0.000 0.500
0.000 0.500 0.000
0.500 0.000 0.000
0.500 0.500 0.500
0.217 0.217 0.755
0.217 0.755 0.217
0.245 0.783 0.783
0.266 0.266 0.266
0.734 0.734 0.734
0.755 0.217 0.217
0.783 0.245 0.783
0.783 0.783 0.245
```

Output
Space-group type: No. 166
Calculated density in g/cm³: 5.60
Size of the total moment in μB/f.u.: 0.0
Uncorrected formation energy in eV/atom: -1.2731
V in Å³ per cell: 405.37

=====

Question: size of the total moment of number 1 (CsIn2Ag)?
Answer: 0.0 μB/f.u.

=====

Question: Look up the size of the total moment of the sixth one.
Answer: 0.0 μB/f.u.